The following is a DFT calculation (GGA-PBE) of a geometry-optimized Rb2HS structure.

Computed properties:
N(E_F) in states/eV per cell: 7.85
M_tot in μB/f.u.: 1.0
Raw total energy in eV/atom: -2.65

Cell lengths 7.813, 7.813, 7.813 Å; angles 90.00, 90.00, 90.00 degrees
Space group Fm-3m (No. 225)
Inequivalent atoms, fractional coordinates:
Rb1 0.250 0.250 0.250 x8
H1 0.000 0.000 0.000 x4
S1 0.000 0.000 0.500 x4